Record 1
Compound: Sr2ScHgO
Source: Alexandria via LeMat-Bulk
Functional: PBE-GGA
Structure: relaxed

## Properties
Spin magnetization = 0.0 μB/cell
Uncorrected formation energy = -1.265 eV per atom

abc: 5.5174 5.5174 4.1672
angles: 90.00 90.00 90.00
Space group P4/mmm (No. 123)
Symmetry-distinct sites (fractional):
Sr (0.0000, 0.5000, 0.0000) (multiplicity 2)
Sc (0.0000, 0.0000, 0.5000) (multiplicity 1)
Hg (0.5000, 0.5000, 0.5000) (multiplicity 1)
O (0.0000, 0.0000, 0.0000) (multiplicity 1)

Record 2
Compound: Tb2ScHgO
Source: Alexandria via LeMat-Bulk
Functional: PBE-GGA
Structure: relaxed

## Properties
Spin magnetization = 0.0 μB/cell
Uncorrected formation energy = -1.405 eV per atom

abc: 4.7780 4.7780 4.4909
angles: 90.00 90.00 90.00
Space group P4/mmm (No. 123)
Symmetry-distinct sites (fractional):
Tb (0.0000, 0.5000, 0.0000) (multiplicity 2)
Sc (0.0000, 0.0000, 0.5000) (multiplicity 1)
Hg (0.5000, 0.5000, 0.5000) (multiplicity 1)
O (0.0000, 0.0000, 0.0000) (multiplicity 1)

Record 3
Compound: ScTcHgO6
Source: Alexandria via LeMat-Bulk
Functional: PBE-GGA
Structure: relaxed

## Properties
Spin magnetization = 0.0 μB/cell
Uncorrected formation energy = -1.592 eV per atom

abc: 5.3721 9.4887 5.3555
angles: 90.00 104.60 90.00
Space group C2 (No. 5)
Symmetry-distinct sites (fractional):
Sc (0.0000, 0.0000, 0.0000) (multiplicity 2)
Tc (0.0000, 0.6489, 0.0000) (multiplicity 2)
Hg (0.0000, 0.3205, 0.5000) (multiplicity 2)
O (0.1746, 0.8264, 0.2022) (multiplicity 4)
O (0.2204, 0.5338, 0.2199) (multiplicity 4)
O (0.2360, 0.6521, 0.7996) (multiplicity 4)

Record 4
Compound: ScTc2HgO8
Source: Alexandria via LeMat-Bulk
Functional: PBE-GGA
Structure: relaxed

## Properties
Spin magnetization = 0.0 μB/cell
Uncorrected formation energy = -1.670 eV per atom

abc: 10.2537 5.9230 8.4211
angles: 90.00 90.06 90.00
Space group C2/m (No. 12)
Symmetry-distinct sites (fractional):
Sc (0.0000, 0.0000, 0.0000) (multiplicity 2)
Tc (0.1663, 0.5000, 0.7896) (multiplicity 4)
Hg (0.0000, 0.0000, 0.5000) (multiplicity 2)
O (0.0848, 0.2557, 0.8606) (multiplicity 8)
O (0.1664, 0.5000, 0.5860) (multiplicity 4)
O (0.1708, 0.0000, 0.1388) (multiplicity 4)

Record 5
Compound: ScHgTeO6
Source: Alexandria via LeMat-Bulk
Functional: PBE-GGA
Structure: relaxed

## Properties
Spin magnetization = 1.2 μB/cell
Uncorrected formation energy = -1.351 eV per atom

abc: 5.4716 5.4716 9.4279
angles: 90.00 90.00 120.00
Space group P-31c (No. 163)
Symmetry-distinct sites (fractional):
Sc (0.3333, 0.6667, 0.2500) (multiplicity 2)
Hg (0.0000, 0.0000, 0.0000) (multiplicity 2)
Te (0.3333, 0.6667, 0.7500) (multiplicity 2)
O (0.0226, 0.3777, 0.6382) (multiplicity 12)

Record 6
Compound: ScHg2TeO6
Source: Alexandria via LeMat-Bulk
Functional: PBE-GGA
Structure: relaxed

## Properties
Spin magnetization = 0.0 μB/cell
Uncorrected formation energy = -1.267 eV per atom

abc: 5.6694 5.6694 14.3715
angles: 90.00 90.00 120.00
Space group R-3 (No. 148, hexagonal axes)
Symmetry-distinct sites (fractional):
Sc (0.0000, 0.0000, 0.0000) (multiplicity 3)
Hg (0.0000, 0.0000, 0.2500) (multiplicity 6)
Te (0.0000, 0.0000, 0.5000) (multiplicity 3)
O (0.0080, 0.4042, 0.2483) (multiplicity 18)

Please write out number 5 again, unchanged.
Compound: ScHgTeO6
Source: Alexandria via LeMat-Bulk
Functional: PBE-GGA
Structure: relaxed

## Properties
Spin magnetization = 1.2 μB/cell
Uncorrected formation energy = -1.351 eV per atom

abc: 5.4716 5.4716 9.4279
angles: 90.00 90.00 120.00
Space group P-31c (No. 163)
Symmetry-distinct sites (fractional):
Sc (0.3333, 0.6667, 0.2500) (multiplicity 2)
Hg (0.0000, 0.0000, 0.0000) (multiplicity 2)
Te (0.3333, 0.6667, 0.7500) (multiplicity 2)
O (0.0226, 0.3777, 0.6382) (multiplicity 12)

- Among the records above, which one has the highest spin magnetization?
  ScHgTeO6

- Which of these has the lowest uncorrected formation energy?
  ScTc2HgO8